{
  "formula": "TaTi",
  "functional": "GGA-PBEsol",
  "state": "optimized geometry",
  "lattice_angstrom": [[2.8001, -0.0223, 0.0000], [-0.9261, 2.6426, 0.0000], [0.0000, 0.0000, 4.5986]],
  "species": ["Ta", "Ti"],
  "fractional_positions": [[0.0000, 0.0000, 0.0000], [0.5000, 0.5000, 0.5000]],
  "magmom_total_mub_per_fu": 0.00,
  "total_energy_ev_per_cell": -20.746
}